[1]
{"formula": "AlPt3N", "functional": "GGA-PBE", "state": "optimized geometry", "lattice_angstrom": [[4.6012, 0.0000, 0.0000], [0.0000, 4.6012, 0.0000], [0.0000, 0.0000, 4.6012]], "species": ["Pt", "Pt", "Pt", "N", "Al"], "frac_coords": [[0.5000, 0.0000, 0.0000], [0.0000, 0.5000, 0.0000], [0.0000, 0.0000, 0.5000], [0.5000, 0.5000, 0.5000], [0.0000, 0.0000, 0.0000]], "formation_energy_uncorrected_kj_per_mol_fu": 774, "e_above_lowest_polymorph_mev_per_atom": 1267, "dos_at_fermi_per_ev_atom": 0.4850, "spacegroup": "Pm-3m, No. 221"}


[2]
{"formula": "TbTm2O", "functional": "GGA-PBE", "state": "optimized geometry", "lattice_angstrom": [[3.1644, 0.0000, 0.0000], [0.0000, 3.1644, 0.0000], [0.0000, 0.0000, 8.5725]], "species": ["Tm", "Tm", "Tb", "O"], "frac_coords": [[0.0000, 0.0000, 0.1788], [0.0000, 0.0000, 0.8212], [0.5000, 0.5000, 0.5000], [0.5000, 0.5000, 0.0000]], "formation_energy_uncorrected_kj_per_mol_fu": -315, "e_above_lowest_polymorph_mev_per_atom": 552, "dos_at_fermi_per_ev_atom": 1.2013, "spacegroup": "P4/mmm, No. 123"}


[3]
{"formula": "BeRu2S", "functional": "GGA-PBE", "state": "optimized geometry", "lattice_angstrom": [[0.0000, 2.8649, 2.8649], [2.8649, 0.0000, 2.8649], [2.8649, 2.8649, 0.0000]], "species": ["Ru", "Ru", "S", "Be"], "frac_coords": [[0.2500, 0.2500, 0.2500], [0.7500, 0.7500, 0.7500], [0.5000, 0.5000, 0.5000], [0.0000, 0.0000, 0.0000]], "formation_energy_uncorrected_kj_per_mol_fu": -2, "e_above_lowest_polymorph_mev_per_atom": 0, "dos_at_fermi_per_ev_atom": 0.3276, "spacegroup": "Fm-3m, No. 225"}